[1]
This record from Alexandria via LeMat-Bulk describes an optimized crystal structure of HfReS2Cl. The functional is PBE-GGA.

Computed properties:
Spin magnetization in μB per formula unit: 5.9
Calculated total energy in eV/atom: -6.193
Calculated volume in Å³ per cell: 123.2
ΔE_f (raw) in eV/atom: 0.31
Relative energy among the computed polymorphs in eV/atom: 0.000

```
data_HfReS2Cl
_cell_length_a 4.9738
_cell_length_b 4.9738
_cell_length_c 4.9799
_cell_angle_alpha 90.00
_cell_angle_beta 90.00
_cell_angle_gamma 90.00
_symmetry_space_group_name_H-M 'P 1'
_symmetry_Int_Tables_number 1
loop_
_symmetry_equiv_pos_as_xyz
'x,y,z'
loop_
_atom_site_label
_atom_site_type_symbol
_atom_site_fract_x
_atom_site_fract_y
_atom_site_fract_z
Hf1 Hf 0.0000 0.0000 0.0000
S1 S 0.0000 0.5000 0.0000
S2 S 0.5000 0.0000 0.0000
Cl1 Cl 0.0000 0.0000 0.5000
Re1 Re 0.5000 0.5000 0.5000
```

---

[2]
This record from Alexandria via LeMat-Bulk describes an optimized crystal structure of HfReSCl2. The functional is PBE-GGA.

Computed properties:
Spin magnetization in μB per formula unit: 0.0
Calculated total energy in eV/atom: -5.374
Calculated volume in Å³ per cell: 104.0
ΔE_f (raw) in eV/atom: 0.67
Relative energy among the computed polymorphs in eV/atom: 0.366

```
data_HfReSCl2
_cell_length_a 4.7765
_cell_length_b 4.7765
_cell_length_c 4.5567
_cell_angle_alpha 90.00
_cell_angle_beta 90.00
_cell_angle_gamma 90.00
_symmetry_space_group_name_H-M 'P 1'
_symmetry_Int_Tables_number 1
loop_
_symmetry_equiv_pos_as_xyz
'x,y,z'
loop_
_atom_site_label
_atom_site_type_symbol
_atom_site_fract_x
_atom_site_fract_y
_atom_site_fract_z
Cl1 Cl 0.5000 0.0000 0.0000
Cl2 Cl 0.0000 0.5000 0.0000
S1 S 0.0000 0.0000 0.5000
Hf1 Hf 0.5000 0.5000 0.5000
Re1 Re 0.0000 0.0000 0.0000
```

---

[3]
This record from Alexandria via LeMat-Bulk describes an optimized crystal structure of HfReS2Cl. The functional is PBE-GGA.

Computed properties:
Spin magnetization in μB per formula unit: 0.0
Calculated total energy in eV/atom: -6.012
Calculated volume in Å³ per cell: 100.0
ΔE_f (raw) in eV/atom: 0.49
Relative energy among the computed polymorphs in eV/atom: 0.181

```
data_HfReS2Cl
_cell_length_a 4.6121
_cell_length_b 4.6121
_cell_length_c 4.7000
_cell_angle_alpha 90.00
_cell_angle_beta 90.00
_cell_angle_gamma 90.00
_symmetry_space_group_name_H-M 'P 1'
_symmetry_Int_Tables_number 1
loop_
_symmetry_equiv_pos_as_xyz
'x,y,z'
loop_
_atom_site_label
_atom_site_type_symbol
_atom_site_fract_x
_atom_site_fract_y
_atom_site_fract_z
Cl1 Cl 0.0000 0.0000 0.5000
Hf1 Hf 0.5000 0.5000 0.5000
Re1 Re 0.0000 0.0000 0.0000
S1 S 0.0000 0.5000 0.0000
S2 S 0.5000 0.0000 0.0000
```